# BaSrEu4O8, relaxed, DFT GGA-PBE
data_BaSrEu4O8
_chemical_formula_sum 'Ba2 Sr2 Eu8 O16'
_cell_length_a 3.5408
_cell_length_b 10.4603
_cell_length_c 12.3961
_cell_angle_alpha 90.00
_cell_angle_beta 90.00
_cell_angle_gamma 90.00
_symmetry_space_group_name_H-M 'P 1'
_symmetry_Int_Tables_number 1
loop_
_symmetry_equiv_pos_as_xyz
'x,y,z'
loop_
_atom_site_label
_atom_site_type_symbol
_atom_site_fract_x
_atom_site_fract_y
_atom_site_fract_z
_atom_site_occupancy
O1 O 0.5000 0.5801 0.1663 1
O2 O 0.0000 0.9295 0.6790 1
O3 O 0.0000 0.6212 0.7351 1
O4 O 0.0000 0.2121 0.5800 1
O5 O 0.5000 0.0801 0.8337 1
O6 O 0.0000 0.5060 0.9617 1
O7 O 0.5000 0.4842 0.5336 1
O8 O 0.5000 0.9842 0.4664 1
O9 O 0.0000 0.7121 0.4200 1
O10 O 0.5000 0.7864 0.9326 1
O11 O 0.5000 0.2864 0.0674 1
O12 O 0.5000 0.3739 0.7715 1
O13 O 0.0000 0.0060 0.0383 1
O14 O 0.5000 0.8739 0.2285 1
O15 O 0.0000 0.4295 0.3210 1
O16 O 0.0000 0.1212 0.2649 1
Eu1 Eu 0.0000 0.9207 0.3573 1
Eu2 Eu 0.5000 0.5776 0.3581 1
Eu3 Eu 0.5000 0.0779 0.1379 1
Eu4 Eu 0.5000 0.5779 0.8621 1
Eu5 Eu 0.0000 0.4207 0.6427 1
Eu6 Eu 0.0000 0.4264 0.1323 1
Eu7 Eu 0.0000 0.9264 0.8677 1
Eu8 Eu 0.5000 0.0776 0.6419 1
Sr1 Sr 0.0000 0.7558 0.1022 1
Sr2 Sr 0.0000 0.2558 0.8978 1
Ba1 Ba 0.5000 0.2482 0.3993 1
Ba2 Ba 0.5000 0.7482 0.6007 1
# Formation energy (no corrections) = -2.686 eV/atom